Sr3Zn8Pd: relaxed, PBE.

The space group is R3m (No. 160, hexagonal axes) and the conventional cell measures 5.3969, 5.3969 and 30.3634 Å, with angles of 90.00, 90.00 and 120.00 degrees. The distinct sites, in fractional coordinates, are Sr at (0.0000, 0.0000, 0.0000), Sr at (0.0000, 0.0000, 0.1264), Sr at (0.0000, 0.0000, 0.5160), Zn at (0.0000, 0.0000, 0.3152), Zn at (0.0000, 0.0000, 0.8351), Zn at (0.0003, 0.5001, 0.0636), Zn at (0.1692, 0.3384, 0.9090) and Pd at (0.0000, 0.0000, 0.6131).

For the energy relative to the elements, the calculation gives -0.19 eV per atom. As for the magnetic moment: 0.00 μB per formula unit.

Ce2NdYTe5: relaxed, PBE.

The space group is P4/mmm (No. 123) and the conventional cell measures 5.7041, 5.7041 and 11.6541 Å, with angles of 90.00, 90.00 and 90.00 degrees. The distinct sites, in fractional coordinates, are Ce at (0.0000, 0.0000, 0.1693), Nd at (0.5000, 0.5000, 0.0000), Y at (0.5000, 0.5000, 0.5000), Te at (0.0000, 0.0000, 0.5000), Te at (0.0000, 0.5000, 0.0000) and Te at (0.5000, 0.5000, 0.2586).

For the uncorrected formation energy, the calculation gives -71 kJ per mole of atoms. As for the magnetic moment: 3.44 μB per formula unit.

SiHg2Te: relaxed, PBE.

The space group is R-3m (No. 166, hexagonal axes) and the conventional cell measures 3.1004, 3.1004 and 36.3861 Å, with angles of 90.00, 90.00 and 120.00 degrees. The distinct sites, in fractional coordinates, are Si at (0.0000, 0.0000, 0.0000), Hg at (0.0000, 0.0000, 0.2587) and Te at (0.0000, 0.0000, 0.5000).

The value obtained for the energy above the most stable polymorph in this dataset is 0.311 eV per atom. For the uncorrected formation energy, the calculation gives 41 kJ per mole of atoms. As for the magnetic moment: 0.00 μB per formula unit.

Ce3AsCCl: relaxed, PBE.

The space group is P2_1/m (No. 11) and the conventional cell measures 6.9234, 3.7977 and 10.9475 Å, with angles of 90.00, 106.97 and 90.00 degrees. The distinct sites, in fractional coordinates, are Ce at (0.0032, 0.2500, 0.3607), Ce at (0.2249, 0.2500, 0.0091), Ce at (0.4773, 0.7500, 0.6235), As at (0.1756, 0.7500, 0.2042), C at (0.2440, 0.2500, 0.5655) and Cl at (0.3575, 0.7500, 0.8517).

For the uncorrected formation energy, the calculation gives -87 kJ per mole of atoms. As for the magnetic moment: 2.15 μB per formula unit.

magnetic moment of number 1 (Sr3Zn8Pd)?
0.00 μB per formula unit

The highest magnetic moment belongs to which entry?
Ce2NdYTe5

The highest magnetic moment belongs to which entry?
Ce2NdYTe5

Which formula does entry 3 have?
SiHg2Te